Record 1
## Nd4TmSi4 (GGA-PBE)

Data for Nd4TmSi4 after structural relaxation.

a = 6.082 Å, b = 8.920 Å, c = 8.920 Å
α = 90.00°, β = 90.00°, γ = 90.00°
Element x y z (fractional)
Nd  0.361  0.304  0.922
Nd  0.861  0.578  0.804
Nd  0.361  0.696  0.078
Nd  0.139  0.196  0.578
Nd  0.639  0.922  0.696
Nd  0.139  0.804  0.422
Nd  0.861  0.422  0.196
Nd  0.639  0.078  0.304
Tm  0.000  0.000  0.000
Tm  0.500  0.500  0.500
Si  0.651  0.756  0.370
Si  0.651  0.244  0.630
Si  0.151  0.870  0.744
Si  0.849  0.256  0.870
Si  0.849  0.744  0.130
Si  0.349  0.370  0.244
Si  0.349  0.630  0.756
Si  0.151  0.130  0.256

Output
Formation energy from raw total energies ... -0.4865 eV/atom
Symmetry ... P4_2/n, No. 86
M_tot ... 0.0 μB/cell
DFT total energy ... -5.513 eV per atom


Record 2
## Nd3TmSi4 (GGA-PBE)

Data for Nd3TmSi4 after structural relaxation.

a = 4.213 Å, b = 6.246 Å, c = 8.825 Å
α = 110.73°, β = 103.81°, γ = 90.00°
Element x y z (fractional)
Nd  0.000  0.500  0.000
Nd  0.194  0.193  0.387
Nd  0.806  0.807  0.613
Tm  0.500  0.000  0.000
Si  0.371  0.557  0.742
Si  0.629  0.443  0.258
Si  0.629  0.816  0.258
Si  0.371  0.184  0.742

Output
Formation energy from raw total energies ... -0.5604 eV/atom
Symmetry ... Immm, No. 71
M_tot ... 0.0 μB/cell
DFT total energy ... -5.619 eV per atom


Record 3
## NdTmSi (GGA-PBE)

Data for NdTmSi after structural relaxation.

a = 4.901 Å, b = 4.901 Å, c = 4.901 Å
α = 60.00°, β = 60.00°, γ = 60.00°
Element x y z (fractional)
Si  0.250  0.250  0.250
Tm  0.000  0.000  0.000
Nd  0.500  0.500  0.500

Output
Energy relative to the lowest polymorph listed for this composition ... 0.112 eV per atom
Formation energy from raw total energies ... -0.4339 eV/atom
Symmetry ... F-43m, No. 216
M_tot ... 0.0 μB/cell
DFT total energy ... -5.321 eV per atom


Record 4
## NdTm2Zn2Si2 (GGA-PBE)

Data for NdTm2Zn2Si2 after structural relaxation.

a = 4.077 Å, b = 4.077 Å, c = 11.349 Å
α = 79.65°, β = 79.65°, γ = 60.00°
Element x y z (fractional)
Nd  0.000  0.000  0.000
Tm  0.124  0.124  0.629
Tm  0.876  0.876  0.371
Zn  0.603  0.603  0.192
Zn  0.397  0.397  0.808
Si  0.733  0.733  0.801
Si  0.267  0.267  0.199

Output
Formation energy from raw total energies ... -0.4328 eV/atom
Symmetry ... R-3m, No. 166
M_tot ... 0.0 μB/cell
DFT total energy ... -4.305 eV per atom


Record 5
## NdTmZnSi (GGA-PBE)

Data for NdTmZnSi after structural relaxation.

a = 4.198 Å, b = 4.067 Å, c = 5.919 Å
α = 90.00°, β = 110.77°, γ = 90.00°
Element x y z (fractional)
Nd  0.147  0.000  0.293
Tm  0.862  0.500  0.724
Zn  0.565  0.500  0.131
Si  0.426  0.000  0.851

Output
Energy relative to the lowest polymorph listed for this composition ... 0.000 eV per atom
Formation energy from raw total energies ... -0.5314 eV/atom
Symmetry ... Amm2, No. 38
M_tot ... 0.0 μB/cell
DFT total energy ... -4.515 eV per atom


Record 6
## NdTmZnSi (GGA-PBE)

Data for NdTmZnSi after structural relaxation.

a = 5.032 Å, b = 5.032 Å, c = 5.032 Å
α = 60.00°, β = 60.00°, γ = 60.00°
Element x y z (fractional)
Zn  0.000  0.000  0.000
Tm  0.250  0.250  0.250
Nd  0.750  0.750  0.750
Si  0.500  0.500  0.500

Output
Energy relative to the lowest polymorph listed for this composition ... 0.102 eV per atom
Formation energy from raw total energies ... -0.4292 eV/atom
Symmetry ... F-43m, No. 216
M_tot ... 0.0 μB/cell
DFT total energy ... -4.413 eV per atom


Record 7
## NdUSi2 (GGA-PBE)

Data for NdUSi2 after structural relaxation.

a = 4.157 Å, b = 4.157 Å, c = 7.120 Å
α = 73.03°, β = 73.03°, γ = 60.00°
Site moments in Bohr magnetons follow the coordinates.
Element x y z (fractional)
Nd  0.500  0.500  0.500  -0.03
Si  0.260  0.260  0.220  -0.03
Si  0.740  0.740  0.780  -0.03
U  0.000  0.000  0.000  0.96

Output
Formation energy from raw total energies ... -0.2114 eV/atom
Symmetry ... R-3m, No. 166
M_tot ... 0.9 μB/cell
DFT total energy ... -6.937 eV per atom


Record 8
## NdU2Si6 (GGA-PBE)

Data for NdU2Si6 after structural relaxation.

a = 3.927 Å, b = 7.025 Å, c = 7.025 Å
α = 120.00°, β = 90.00°, γ = 90.00°
Site moments in Bohr magnetons follow the coordinates.
Element x y z (fractional)
Nd  0.000  0.000  0.000  0.01
U  0.000  0.333  0.667  1.54
U  0.000  0.667  0.333  1.54
Si  0.500  0.337  0.337  -0.01
Si  0.500  0.663  0.663  -0.01
Si  0.500  0.000  0.663  -0.01
Si  0.500  0.663  0.000  -0.01
Si  0.500  0.337  0.000  -0.01
Si  0.500  0.000  0.337  -0.01

Output
Formation energy from raw total energies ... -0.3944 eV/atom
Symmetry ... P6/mmm, No. 191
M_tot ... 3.3 μB/cell
DFT total energy ... -7.048 eV per atom


Record 9
## NdVSi2 (GGA-PBE)

Data for NdVSi2 after structural relaxation.

a = 4.814 Å, b = 4.814 Å, c = 6.936 Å
α = 69.69°, β = 69.69°, γ = 60.00°
Site moments in Bohr magnetons follow the coordinates.
Element x y z (fractional)
Si  0.128  0.128  0.617  -0.01
Si  0.872  0.872  0.383  -0.01
Nd  0.500  0.500  0.500  -0.04
V  0.000  0.000  0.000  2.71

Output
Formation energy from raw total energies ... 0.9665 eV/atom
Symmetry ... R-3m, No. 166
M_tot ... 3.4 μB/cell
DFT total energy ... -5.217 eV per atom


Record 10
## NdVSi (GGA-PBE)

Data for NdVSi after structural relaxation.

a = 4.026 Å, b = 4.339 Å, c = 4.339 Å
α = 120.00°, β = 90.00°, γ = 90.00°
Site moments in Bohr magnetons follow the coordinates.
Element x y z (fractional)
Si  0.167  0.000  0.000  -0.08
Nd  0.667  0.333  0.667  0.01
V  0.167  0.667  0.333  2.01

Output
Formation energy from raw total energies ... -0.1877 eV/atom
Symmetry ... P-6m2, No. 187
M_tot ... 2.2 μB/cell
DFT total energy ... -6.624 eV per atom


Record 11
## NdSi2W (GGA-PBE)

Data for NdSi2W after structural relaxation.

a = 3.872 Å, b = 3.872 Å, c = 6.637 Å
α = 73.04°, β = 73.04°, γ = 60.00°
Element x y z (fractional)
Si  0.269  0.269  0.193
Si  0.731  0.731  0.807
Nd  0.500  0.500  0.500
W  0.000  0.000  0.000

Output
Formation energy from raw total energies ... -0.1388 eV/atom
Symmetry ... R-3m, No. 166
M_tot ... 0.0 μB/cell
DFT total energy ... -7.281 eV per atom


Record 12
## NdY2Si (GGA-PBE)

Data for NdY2Si after structural relaxation.

a = 3.756 Å, b = 3.756 Å, c = 10.075 Å
α = 79.26°, β = 79.26°, γ = 60.00°
Element x y z (fractional)
Y  0.271  0.271  0.187
Y  0.729  0.729  0.813
Si  0.000  0.000  0.000
Nd  0.500  0.500  0.500

Output
Energy relative to the lowest polymorph listed for this composition ... 0.011 eV per atom
Formation energy from raw total energies ... -0.1900 eV/atom
Symmetry ... R-3m, No. 166
M_tot ... 0.0 μB/cell
DFT total energy ... -5.970 eV per atom


Record 13
## NdYSi3 (GGA-PBE)

Data for NdYSi3 after structural relaxation.

a = 3.971 Å, b = 4.266 Å, c = 12.531 Å
α = 99.80°, β = 90.00°, γ = 90.00°
Element x y z (fractional)
Nd  0.250  0.070  0.141
Nd  0.750  0.930  0.859
Y  0.250  0.797  0.595
Y  0.750  0.203  0.405
Si  0.250  0.380  0.759
Si  0.750  0.620  0.241
Si  0.250  0.475  0.950
Si  0.750  0.525  0.050
Si  0.750  0.322  0.643
Si  0.250  0.678  0.357

Output
Formation energy from raw total energies ... -0.7119 eV/atom
Symmetry ... Cmcm, No. 63
M_tot ... 0.0 μB/cell
DFT total energy ... -6.212 eV per atom


Record 14
## NdY2Si (GGA-PBE)

Data for NdY2Si after structural relaxation.

a = 3.826 Å, b = 3.826 Å, c = 9.878 Å
α = 78.83°, β = 78.83°, γ = 60.00°
Site moments in Bohr magnetons follow the coordinates.
Element x y z (fractional)
Nd  0.501  0.501  0.496  0.11
Y  0.061  0.061  0.816  0.02
Y  0.271  0.271  0.186  0.01
Si  0.666  0.666  0.002  0.00

Output
Energy relative to the lowest polymorph listed for this composition ... 0.000 eV per atom
Formation energy from raw total energies ... -0.2013 eV/atom
Symmetry ... R3m, No. 160
M_tot ... 0.3 μB/cell
DFT total energy ... -5.981 eV per atom


Record 15
## Nd2YSi2 (GGA-PBE)

Data for Nd2YSi2 after structural relaxation.

a = 4.395 Å, b = 7.625 Å, c = 7.625 Å
α = 90.00°, β = 90.00°, γ = 90.00°
Element x y z (fractional)
Nd  0.500  0.177  0.677
Nd  0.500  0.677  0.823
Nd  0.500  0.823  0.323
Nd  0.500  0.323  0.177
Y  0.000  0.000  0.000
Y  0.000  0.500  0.500
Si  0.000  0.386  0.886
Si  0.000  0.886  0.614
Si  0.000  0.614  0.114
Si  0.000  0.114  0.386

Output
Energy relative to the lowest polymorph listed for this composition ... 0.000 eV per atom
Formation energy from raw total energies ... -0.6957 eV/atom
Symmetry ... P4/mbm, No. 127
M_tot ... 0.0 μB/cell
DFT total energy ... -6.065 eV per atom


Record 16
## Nd2YSi2 (GGA-PBE)

Data for Nd2YSi2 after structural relaxation.

a = 4.360 Å, b = 6.623 Å, c = 9.967 Å
α = 78.04°, β = 77.36°, γ = 70.78°
Element x y z (fractional)
Nd  0.322  0.267  0.089
Nd  0.485  0.342  0.689
Nd  0.678  0.733  0.911
Nd  0.515  0.658  0.311
Y  0.775  0.085  0.366
Y  0.225  0.915  0.634
Si  0.990  0.125  0.894
Si  0.109  0.336  0.447
Si  0.010  0.875  0.106
Si  0.891  0.664  0.553

Output
Energy relative to the lowest polymorph listed for this composition ... 0.070 eV per atom
Formation energy from raw total energies ... -0.6254 eV/atom
Symmetry ... C2/m, No. 12
M_tot ... 0.0 μB/cell
DFT total energy ... -5.995 eV per atom


Record 17
## NdYZnSi (GGA-PBE)

Data for NdYZnSi after structural relaxation.

a = 5.072 Å, b = 5.072 Å, c = 5.072 Å
α = 60.00°, β = 60.00°, γ = 60.00°
Element x y z (fractional)
Y  0.500  0.500  0.500
Zn  0.250  0.250  0.250
Nd  0.000  0.000  0.000
Si  0.750  0.750  0.750

Output
Energy relative to the lowest polymorph listed for this composition ... 0.101 eV per atom
Formation energy from raw total energies ... -0.4516 eV/atom
Symmetry ... F-43m, No. 216
M_tot ... 0.0 μB/cell
DFT total energy ... -4.934 eV per atom


Record 18
## NdYZnSi (GGA-PBE)

Data for NdYZnSi after structural relaxation.

a = 4.240 Å, b = 4.088 Å, c = 5.963 Å
α = 90.00°, β = 110.83°, γ = 90.00°
Element x y z (fractional)
Nd  0.146  0.000  0.292
Y  0.861  0.500  0.722
Zn  0.566  0.500  0.132
Si  0.427  0.000  0.854

Output
Energy relative to the lowest polymorph listed for this composition ... 0.000 eV per atom
Formation energy from raw total energies ... -0.5526 eV/atom
Symmetry ... Amm2, No. 38
M_tot ... 0.0 μB/cell
DFT total energy ... -5.035 eV per atom


Record 19
## Nd6Zn5Si (GGA-PBE)

Data for Nd6Zn5Si after structural relaxation.

a = 5.176 Å, b = 7.374 Å, c = 8.229 Å
α = 90.00°, β = 71.67°, γ = 90.00°
Element x y z (fractional)
Zn  0.668  0.500  0.665
Zn  0.324  0.000  0.352
Zn  0.000  0.500  0.000
Zn  0.676  0.000  0.648
Zn  0.332  0.500  0.335
Nd  0.837  0.752  0.326
Nd  0.837  0.248  0.326
Nd  0.500  0.241  0.000
Nd  0.500  0.759  0.000
Nd  0.163  0.752  0.674
Nd  0.163  0.248  0.674
Si  0.000  0.000  0.000

Output
Formation energy from raw total energies ... -0.3539 eV/atom
Symmetry ... Cmmm, No. 65
M_tot ... 0.0 μB/cell
DFT total energy ... -3.721 eV per atom


Record 20
## Nd5ZnSi2 (GGA-PBE)

Data for Nd5ZnSi2 after structural relaxation.

a = 7.736 Å, b = 7.736 Å, c = 9.164 Å
α = 114.97°, β = 114.97°, γ = 90.00°
Element x y z (fractional)
Nd  0.536  0.680  0.716
Nd  0.820  0.964  0.284
Nd  0.000  0.000  0.000
Nd  0.500  0.500  0.000
Nd  0.180  0.036  0.716
Nd  0.680  0.180  0.716
Nd  0.036  0.536  0.716
Nd  0.320  0.820  0.284
Nd  0.964  0.464  0.284
Nd  0.464  0.320  0.284
Zn  0.750  0.750  0.500
Zn  0.250  0.250  0.500
Si  0.114  0.386  0.000
Si  0.614  0.114  0.000
Si  0.386  0.886  0.000
Si  0.886  0.614  0.000

Output
Formation energy from raw total energies ... -0.4505 eV/atom
Symmetry ... I4/mcm, No. 140
M_tot ... 0.0 μB/cell
DFT total energy ... -4.945 eV per atom